Below is crystalline TcRuS2N at its relaxed geometry, with properties calculated at the PBE level.

Results
Offset from the most stable computed form, eV/f.u.: 0.03
Formation energy (no corrections), kJ/mol of atoms: 81.1
SG: P4/mmm (123)
Total energy, Ha/atom: -0.23535

Cell: 4.7553 4.7553 3.6758 Å, 90.00 90.00 90.00°
Closest atoms and distances in Å follow each position.
Element x y z (fractional)
Ru 0.5000 0.5000 0.5000  8 S 3.01, 4 N 3.36
S 0.0000 0.5000 0.0000  2 Tc 2.38
S 0.5000 0.0000 0.0000  2 Tc 2.38
Tc 0.0000 0.0000 0.0000  2 N 1.84
N 0.0000 0.0000 0.5000  2 Tc 1.84